TlZnBr4 | PBE | relaxed

Calculated values
The calculation puts the raw formation energy at -660 meV/atom.

```
data_TlZnBr4
_chemical_formula_sum 'Tl2 Zn2 Br8'
_cell_length_a 6.0129
_cell_length_b 6.0129
_cell_length_c 12.1469
_cell_angle_alpha 90.00
_cell_angle_beta 90.00
_cell_angle_gamma 90.00
_space_group_name_H-M_alt 'P 1'
_space_group_IT_number 1
loop_
_space_group_symop_operation_xyz
'x,y,z'
loop_
_atom_site_label
_atom_site_fract_x
_atom_site_fract_y
_atom_site_fract_z
Br1 0.2049 0.2684 0.8877
Br2 0.7951 0.2684 0.6123
Br3 0.7316 0.7951 0.3877
Br4 0.7316 0.2049 0.1123
Tl1 0.5000 0.0000 0.7500
Br5 0.2684 0.7951 0.1123
Br6 0.2049 0.7316 0.6123
Zn1 0.0000 0.0000 0.5000
Br7 0.7951 0.7316 0.8877
Br8 0.2684 0.2049 0.3877
Zn2 0.0000 0.0000 0.0000
Tl2 0.0000 0.5000 0.2500
```

Sr2ZrNi3H12 | PBE | relaxed

```
data_Sr2ZrNi3H12
_chemical_formula_sum 'Sr2 Zr1 Ni3 H12'
_cell_length_a 5.9521
_cell_length_b 5.9521
_cell_length_c 5.9521
_cell_angle_alpha 64.41
_cell_angle_beta 64.41
_cell_angle_gamma 64.41
_space_group_name_H-M_alt 'P 1'
_space_group_IT_number 1
loop_
_space_group_symop_operation_xyz
'x,y,z'
loop_
_atom_site_label
_atom_site_fract_x
_atom_site_fract_y
_atom_site_fract_z
H1 0.2699 0.8973 0.2699
Sr1 0.6139 0.6139 0.6139
H2 0.5986 0.1220 0.1220
H3 0.8973 0.2699 0.2699
H4 0.7301 0.7301 0.1027
H5 0.1220 0.5986 0.1220
Zr1 0.0000 0.0000 0.0000
Sr2 0.3861 0.3861 0.3861
H6 0.8780 0.8780 0.4014
Ni1 0.5000 0.0000 0.0000
H7 0.7301 0.1027 0.7301
Ni2 0.0000 0.5000 0.0000
H8 0.1220 0.1220 0.5986
H9 0.1027 0.7301 0.7301
Ni3 0.0000 0.0000 0.5000
H10 0.4014 0.8780 0.8780
H11 0.8780 0.4014 0.8780
H12 0.2699 0.2699 0.8973
```

CsTlI3 | PBE | relaxed

Calculated values
The calculation puts the raw formation energy at -856 meV/atom.

```
data_CsTlI3
_chemical_formula_sum 'Cs2 Tl2 I6'
_cell_length_a 5.7277
_cell_length_b 9.8090
_cell_length_c 10.2228
_cell_angle_alpha 77.47
_cell_angle_beta 90.74
_cell_angle_gamma 81.65
_space_group_name_H-M_alt 'P 1'
_space_group_IT_number 1
loop_
_space_group_symop_operation_xyz
'x,y,z'
loop_
_atom_site_label
_atom_site_fract_x
_atom_site_fract_y
_atom_site_fract_z
Tl1 0.0165 0.7173 0.7420
I1 0.9833 0.0242 0.9962
Cs1 0.5025 0.7730 0.2746
I2 0.4641 0.9103 0.6263
I3 0.4954 0.1636 0.2928
I4 0.8994 0.5070 0.0789
I5 0.4126 0.3814 0.7890
Tl2 0.6737 0.2733 0.0388
I6 0.0573 0.5736 0.4789
Cs2 0.9186 0.1980 0.5935
```

| no. | final energy (eV per cell) | total moment (Bohr magnetons per cell) |
| --- | --- | --- |
| 1 | -28.58 | 0.00 |
| 2 | -74.86 | 0.00 |
| 3 | -24.30 | 0.00 |